The following is a GGA-PBEsol calculation of a relaxed structure of NaCaH6Ir, from the Alexandria database.

Cell lengths 5.0047, 5.0047, 5.0047 Å; angles 60.00, 60.00, 60.00 degrees
Fractional coordinates of all 9 atoms:
Na (0.7500, 0.7500, 0.7500)
Ca (0.2500, 0.2500, 0.2500)
Ir (0.0000, 0.0000, 0.0000)
H (0.7633, 0.2367, 0.2367)
H (0.7633, 0.7633, 0.2367)
H (0.7633, 0.2367, 0.7633)
H (0.2367, 0.7633, 0.7633)
H (0.2367, 0.2367, 0.7633)
H (0.2367, 0.7633, 0.2367)

Space-group type: F-43m
Energy (eV/atom): -4.246